1.
## LiCaSnPd (GGA-PBE)

Data for LiCaSnPd after structural relaxation.

Crystal system: cubic
Volume: 19.81 Å³ per atom
Calculated formation energy: -249 kJ/mol of formula units
Density of states at the Fermi level: 1.94 states/eV/f.u.
Calculated total energy: -3.924 eV/atom

Cell lengths 6.818, 6.818, 6.818 Å; angles 90.00, 90.00, 90.00 degrees
Fractional coordinates of all 16 atoms:
Li (0.000, 0.000, 0.000)
Li (0.000, 0.500, 0.500)
Li (0.500, 0.000, 0.500)
Li (0.500, 0.500, 0.000)
Ca (0.250, 0.250, 0.750)
Ca (0.250, 0.750, 0.250)
Ca (0.750, 0.250, 0.250)
Ca (0.750, 0.750, 0.750)
Sn (0.250, 0.250, 0.250)
Sn (0.250, 0.750, 0.750)
Sn (0.750, 0.250, 0.750)
Sn (0.750, 0.750, 0.250)
Pd (0.000, 0.000, 0.500)
Pd (0.000, 0.500, 0.000)
Pd (0.500, 0.000, 0.000)
Pd (0.500, 0.500, 0.500)

---

2.
## Mn2AgSe (GGA-PBE)

Data for Mn2AgSe after structural relaxation.

Crystal system: tetragonal
Volume: 17.09 Å³ per atom
Density of states at the Fermi level: 2.09 states/eV/f.u.
Calculated total energy: -6.037 eV/atom

Cell lengths 3.353, 3.353, 6.080 Å; angles 90.00, 90.00, 90.00 degrees
Fractional coordinates of all 4 atoms:
Mn (0.000, 0.000, 0.000)
Mn (0.500, 0.500, 0.247)
Ag (0.500, 0.500, 0.761)
Se (0.000, 0.000, 0.424)

---

3.
## MnTlB3 (GGA-PBE)

Data for MnTlB3 after structural relaxation.

Energy above the most stable polymorph in this dataset: 0 meV per atom
Crystal system: cubic
Volume: 12.92 Å³ per atom
Calculated formation energy: 509 kJ/mol of formula units
Density of states at the Fermi level: 3.41 states/eV/f.u.
Calculated total energy: -5.259 eV/atom

Cell lengths 4.012, 4.012, 4.012 Å; angles 90.00, 90.00, 90.00 degrees
Fractional coordinates of all 5 atoms:
Mn (0.000, 0.000, 0.000)
Tl (0.500, 0.500, 0.500)
B (0.000, 0.000, 0.500)
B (0.000, 0.500, 0.000)
B (0.500, 0.000, 0.000)

---

4.
## BaTaIn (GGA-PBE)

Data for BaTaIn after structural relaxation.

Energy above the most stable polymorph in this dataset: 158 meV per atom
Crystal system: trigonal
Volume: 26.85 Å³ per atom
Calculated formation energy: 206 kJ/mol of formula units
Density of states at the Fermi level: 3.48 states/eV/f.u.
Calculated total energy: -4.792 eV/atom

Cell lengths 3.297, 3.297, 8.553 Å; angles 90.00, 90.00, 120.00 degrees
Fractional coordinates of all 3 atoms:
Ba (0.000, 0.000, 0.000)
Ta (0.333, 0.667, 0.653)
In (0.667, 0.333, 0.373)

---

5.
## SmAl4Cu (GGA-PBE)

Data for SmAl4Cu after structural relaxation.

Crystal system: tetragonal
Volume: 22.34 Å³ per atom
Calculated formation energy: 83 kJ/mol of formula units
Density of states at the Fermi level: 4.73 states/eV/f.u.
Calculated total energy: -3.820 eV/atom

Cell lengths 6.189, 6.189, 7.000 Å; angles 90.00, 90.00, 90.00 degrees
Fractional coordinates of all 12 atoms:
Sm (0.000, 0.500, 0.000)
Sm (0.500, 0.000, 0.000)
Al (0.000, 0.000, 0.175)
Al (0.000, 0.000, 0.825)
Al (0.154, 0.346, 0.500)
Al (0.346, 0.846, 0.500)
Al (0.500, 0.500, 0.175)
Al (0.500, 0.500, 0.825)
Al (0.654, 0.154, 0.500)
Al (0.846, 0.654, 0.500)
Cu (0.000, 0.000, 0.500)
Cu (0.500, 0.500, 0.500)

---

6.
## Na3DyZr2S6 (GGA-PBE)

Data for Na3DyZr2S6 after structural relaxation.

Crystal system: monoclinic
Volume: 21.00 Å³ per atom
Density of states at the Fermi level: 4.77 states/eV/f.u.
Calculated total energy: -5.784 eV/atom

Cell lengths 6.548, 6.548, 7.131 Å; angles 98.82, 98.82, 120.02 degrees
Fractional coordinates of all 12 atoms:
Na (0.000, 0.000, 0.000)
Na (0.336, 0.664, 0.000)
Na (0.664, 0.336, 0.000)
Dy (0.500, 0.500, 0.500)
Zr (0.167, 0.833, 0.500)
Zr (0.833, 0.167, 0.500)
S (0.079, 0.424, 0.274)
S (0.231, 0.231, 0.726)
S (0.424, 0.079, 0.274)
S (0.576, 0.921, 0.726)
S (0.769, 0.769, 0.274)
S (0.921, 0.576, 0.726)

---

7.
## PmMgZrTc (GGA-PBE)

Data for PmMgZrTc after structural relaxation.

Crystal system: cubic
Volume: 21.67 Å³ per atom
Calculated formation energy: 17 kJ/mol of formula units
Density of states at the Fermi level: 4.56 states/eV/f.u.
Calculated total energy: -6.271 eV/atom

Cell lengths 7.025, 7.025, 7.025 Å; angles 90.00, 90.00, 90.00 degrees
Fractional coordinates of all 16 atoms:
Pm (0.000, 0.000, 0.000)
Pm (0.000, 0.500, 0.500)
Pm (0.500, 0.000, 0.500)
Pm (0.500, 0.500, 0.000)
Mg (0.250, 0.250, 0.750)
Mg (0.250, 0.750, 0.250)
Mg (0.750, 0.250, 0.250)
Mg (0.750, 0.750, 0.750)
Zr (0.000, 0.000, 0.500)
Zr (0.000, 0.500, 0.000)
Zr (0.500, 0.000, 0.000)
Zr (0.500, 0.500, 0.500)
Tc (0.250, 0.250, 0.250)
Tc (0.250, 0.750, 0.750)
Tc (0.750, 0.250, 0.750)
Tc (0.750, 0.750, 0.250)

---

8.
## TaGa3Hg (GGA-PBE)

Data for TaGa3Hg after structural relaxation.

Energy above the most stable polymorph in this dataset: 718 meV per atom
Crystal system: cubic
Volume: 24.79 Å³ per atom
Calculated formation energy: 634 kJ/mol of formula units
Density of states at the Fermi level: 4.33 states/eV/f.u.
Calculated total energy: -2.933 eV/atom

Cell lengths 4.986, 4.986, 4.986 Å; angles 90.00, 90.00, 90.00 degrees
Fractional coordinates of all 5 atoms:
Ta (0.000, 0.000, 0.000)
Ga (0.000, 0.500, 0.500)
Ga (0.500, 0.000, 0.500)
Ga (0.500, 0.500, 0.000)
Hg (0.500, 0.500, 0.500)

---

What did the seventh record say?
## PmMgZrTc (GGA-PBE)

Data for PmMgZrTc after structural relaxation.

Crystal system: cubic
Volume: 21.67 Å³ per atom
Calculated formation energy: 17 kJ/mol of formula units
Density of states at the Fermi level: 4.56 states/eV/f.u.
Calculated total energy: -6.271 eV/atom

Cell lengths 7.025, 7.025, 7.025 Å; angles 90.00, 90.00, 90.00 degrees
Fractional coordinates of all 16 atoms:
Pm (0.000, 0.000, 0.000)
Pm (0.000, 0.500, 0.500)
Pm (0.500, 0.000, 0.500)
Pm (0.500, 0.500, 0.000)
Mg (0.250, 0.250, 0.750)
Mg (0.250, 0.750, 0.250)
Mg (0.750, 0.250, 0.250)
Mg (0.750, 0.750, 0.750)
Zr (0.000, 0.000, 0.500)
Zr (0.000, 0.500, 0.000)
Zr (0.500, 0.000, 0.000)
Zr (0.500, 0.500, 0.500)
Tc (0.250, 0.250, 0.250)
Tc (0.250, 0.750, 0.750)
Tc (0.750, 0.250, 0.750)
Tc (0.750, 0.750, 0.250)

---

Which formula does entry 2 have?
Mn2AgSe